A plane-wave DFT calculation with PBE was carried out for a geometry-optimized Ca3Tl5I12 structure.

abc: 14.4801 14.4801 4.6207
angles: 90.00 90.00 120.00
Space group P-62m (No. 189)
Asymmetric unit:
Ca (0.0000, 0.3220, 0.0000) [3 per cell]
Tl (0.0000, 0.7139, 0.5000) [3 per cell]
Tl (0.3333, 0.6667, 0.5000) [2 per cell]
I (0.0000, 0.1734, 0.5000) [3 per cell]
I (0.0000, 0.4675, 0.5000) [3 per cell]
I (0.1967, 0.7491, 0.0000) [6 per cell]

Properties
The density of states at the Fermi level is 1.022 states/eV per atom. For the energy relative to the elements, uncorrected, the calculation gives -1.028 eV per atom. The value obtained for the energy relative to the lowest polymorph listed for this composition is 0.000 eV per atom.

=====

A plane-wave DFT calculation with PBE was carried out for a geometry-optimized CeSm3Ge3 structure.

abc: 9.0308 9.0308 5.8595
angles: 90.00 90.00 120.00
Space group P6_3/m (No. 176)
Asymmetric unit:
Ce (0.3333, 0.6667, 0.2500) [2 per cell]
Sm (0.0187, 0.3222, 0.7500) [6 per cell]
Ge (0.0036, 0.6505, 0.7500) [6 per cell]

Properties
The density of states at the Fermi level is 1.160 states/eV per atom. As for the calculated total energy: -75.653 eV/cell.

=====

A plane-wave DFT calculation with PBE was carried out for a geometry-optimized DyGaSiTc2 structure.

abc: 4.2266 11.7776 7.4475
angles: 90.00 90.00 90.00
Space group Cmcm (No. 63)
Asymmetric unit:
Dy (0.0000, 0.0580, 0.2500) [4 per cell]
Ga (0.0000, 0.5000, 0.0000) [4 per cell]
Si (0.0000, 0.2445, 0.7500) [4 per cell]
Tc (0.0000, 0.3017, 0.0705) [8 per cell]

Properties
The density of states at the Fermi level is 0.664 states/eV per atom. For the energy relative to the elements, uncorrected, the calculation gives -0.318 eV per atom.

=====

A plane-wave DFT calculation with PBE was carried out for a geometry-optimized Rb3AlS structure.

abc: 6.4213 6.4213 6.4213
angles: 90.00 90.00 90.00
Space group Pm-3m (No. 221)
Asymmetric unit:
Rb (0.0000, 0.0000, 0.5000) [3 per cell]
Al (0.5000, 0.5000, 0.5000) [1 per cell]
S (0.0000, 0.0000, 0.0000) [1 per cell]

Properties
The density of states at the Fermi level is 0.958 states/eV per atom. For the energy relative to the elements, uncorrected, the calculation gives -0.141 eV per atom. The value obtained for the energy relative to the lowest polymorph listed for this composition is 0.000 eV per atom.

=====

A plane-wave DFT calculation with PBE was carried out for a geometry-optimized BaPa2Bi7 structure.

abc: 10.1349 13.6990 6.0238
angles: 90.00 90.00 90.00
Space group Cmmm (No. 65)
Asymmetric unit:
Ba (0.0000, 0.0000, 0.0000) [2 per cell]
Pa (0.0000, 0.2761, 0.5000) [4 per cell]
Bi (0.0000, 0.2797, 0.0000) [4 per cell]
Bi (0.0000, 0.5000, 0.5000) [2 per cell]
Bi (0.2153, 0.1142, 0.5000) [8 per cell]

Properties
The density of states at the Fermi level is 1.334 states/eV per atom. As for the calculated total energy: -95.863 eV/cell.

=====

A plane-wave DFT calculation with PBE was carried out for a geometry-optimized LaMg3Ir structure.

abc: 5.5824 6.0143 7.4114
angles: 90.00 108.77 90.00
Space group P2_1/m (No. 11)
Asymmetric unit:
La (0.0995, 0.2500, 0.4029) [2 per cell]
Mg (0.0354, 0.2500, 0.8842) [2 per cell]
Mg (0.4822, 0.5027, 0.2035) [4 per cell]
Ir (0.3252, 0.7500, 0.4727) [2 per cell]

Properties
The density of states at the Fermi level is 0.481 states/eV per atom. The value obtained for the energy relative to the lowest polymorph listed for this composition is 0.000 eV per atom.

=====

A plane-wave DFT calculation with PBE was carried out for a geometry-optimized ScCdPd2Pt structure.

abc: 5.0492 5.0492 4.7042
angles: 90.00 90.00 90.00
Space group P4/mmm (No. 123)
Asymmetric unit:
Sc (0.0000, 0.0000, 0.0000) [1 per cell]
Cd (0.5000, 0.5000, 0.0000) [1 per cell]
Pd (0.0000, 0.5000, 0.5000) [2 per cell]
Pt (0.0000, 0.0000, 0.5000) [1 per cell]

Properties
The density of states at the Fermi level is 0.733 states/eV per atom. As for the calculated total energy: -22.631 eV/cell.

=====

A plane-wave DFT calculation with PBE was carried out for a geometry-optimized K3DyHo2S6 structure.

abc: 6.9975 12.1199 7.7264
angles: 90.00 107.57 90.00
Space group C2/m (No. 12)
Asymmetric unit:
K (0.0000, 0.0000, 0.0000) [2 per cell]
K (0.0000, 0.3334, 0.0000) [4 per cell]
Dy (0.0000, 0.5000, 0.5000) [2 per cell]
Ho (0.0000, 0.1667, 0.5000) [4 per cell]
S (0.2327, 0.0000, 0.7012) [4 per cell]
S (0.2342, 0.3328, 0.7011) [8 per cell]

Properties
The density of states at the Fermi level is 0.000 states/eV per atom. For the energy relative to the elements, uncorrected, the calculation gives -1.890 eV per atom.

=====

A plane-wave DFT calculation with PBE was carried out for a geometry-optimized LaTa2Se structure.

abc: 4.0815 4.0815 10.9218
angles: 90.00 90.00 90.00
Space group I4/mmm (No. 139)
Asymmetric unit:
La (0.0000, 0.0000, 0.0000) [2 per cell]
Ta (0.0000, 0.5000, 0.2500) [4 per cell]
Se (0.0000, 0.0000, 0.5000) [2 per cell]

Properties
The density of states at the Fermi level is 1.455 states/eV per atom. For the energy relative to the elements, uncorrected, the calculation gives 0.226 eV per atom.

=====

A plane-wave DFT calculation with PBE was carried out for a geometry-optimized Nb2CoSn structure.

abc: 7.2879 7.2879 5.4967
angles: 90.00 90.00 90.00
Space group I-42d (No. 122)
Asymmetric unit:
Nb (0.2008, 0.2500, 0.1250) [8 per cell]
Co (0.0000, 0.0000, 0.0000) [4 per cell]
Sn (0.0000, 0.0000, 0.5000) [4 per cell]

Properties
The density of states at the Fermi level is 1.050 states/eV per atom. As for the calculated total energy: -121.419 eV/cell.

=====

A plane-wave DFT calculation with PBE was carried out for a geometry-optimized LaNd4Ag5 structure.

abc: 3.7409 3.7409 19.1462
angles: 90.00 90.00 90.00
Space group P4/mmm (No. 123)
Asymmetric unit:
La (0.0000, 0.0000, 0.0000) [1 per cell]
Nd (0.0000, 0.0000, 0.2024) [2 per cell]
Nd (0.0000, 0.0000, 0.4009) [2 per cell]
Ag (0.5000, 0.5000, 0.1051) [2 per cell]
Ag (0.5000, 0.5000, 0.3018) [2 per cell]
Ag (0.5000, 0.5000, 0.5000) [1 per cell]

Properties
The density of states at the Fermi level is 0.857 states/eV per atom. As for the calculated total energy: -40.820 eV/cell.

=====

A plane-wave DFT calculation with PBE was carried out for a geometry-optimized LiAg2Bi structure.

abc: 3.4252 3.4252 6.9712
angles: 90.00 90.00 90.00
Space group P4/mmm (No. 123)
Asymmetric unit:
Li (0.0000, 0.0000, 0.0000) [1 per cell]
Ag (0.5000, 0.5000, 0.2033) [2 per cell]
Bi (0.0000, 0.0000, 0.5000) [1 per cell]

Properties
The density of states at the Fermi level is 0.355 states/eV per atom. The value obtained for the energy relative to the lowest polymorph listed for this composition is 0.084 eV per atom.

=====

Copy entry 7 word for word.
A plane-wave DFT calculation with PBE was carried out for a geometry-optimized ScCdPd2Pt structure.

abc: 5.0492 5.0492 4.7042
angles: 90.00 90.00 90.00
Space group P4/mmm (No. 123)
Asymmetric unit:
Sc (0.0000, 0.0000, 0.0000) [1 per cell]
Cd (0.5000, 0.5000, 0.0000) [1 per cell]
Pd (0.0000, 0.5000, 0.5000) [2 per cell]
Pt (0.0000, 0.0000, 0.5000) [1 per cell]

Properties
The density of states at the Fermi level is 0.733 states/eV per atom. As for the calculated total energy: -22.631 eV/cell.